Entry 1:
Material: Cu4HPt
Method: DFT, GGA-PBE
State: relaxed

Cell: 4.3337 6.6550 6.0934 Å, 117.98 103.74 102.48°
Positions (direct):
H 0.1676 0.4176 0.3353
Cu 0.9358 0.6127 0.3678
Cu 0.5680 0.7448 0.6322
Cu 0.4320 0.2552 0.3678
Pt 0.3369 0.0869 0.6738
H 0.8324 0.5824 0.6647
Cu 0.7215 0.5604 0.9182
Cu 0.8032 0.1421 0.0818
Cu 0.2785 0.4396 0.0818
Cu 0.0642 0.3873 0.6322
Cu 0.1968 0.8579 0.9182
Pt 0.6631 0.9131 0.3262

Raw total energy: -4.2100 eV per atom


Entry 2:
Material: DyErTm5
Method: DFT, GGA-PBE
State: relaxed

Cell: 6.6327 6.6327 13.4626 Å, 61.79 61.79 60.19°
Positions (direct):
Tm 0.8330 0.6133 0.2470
Er 0.0000 0.0000 0.0000
Tm 0.6932 0.6516 0.9994
Tm 0.6516 0.6932 0.4994
Tm 0.1656 0.8344 0.7500
Dy 0.2773 0.7227 0.2500
Tm 0.1670 0.3867 0.7530
Tm 0.3484 0.3068 0.5006
Tm 0.3867 0.1670 0.2530
Tm 0.8344 0.1656 0.2500
Dy 0.7227 0.2773 0.7500
Tm 0.3068 0.3484 0.0006
Tm 0.6133 0.8330 0.7470
Er 0.0000 0.0000 0.5000

Distance to the lowest polymorph of the same formula: 0.0 kJ per mole of atoms
Raw total energy: -4.2979 eV per atom
Energy of formation: 0.2053 eV/atom


Entry 3:
Material: Pm5TlCu2
Method: DFT, GGA-PBE
State: relaxed

Cell: 8.1676 8.1676 8.7618 Å, 117.78 117.78 90.00°
Positions (direct):
Pm 0.7965 0.9884 0.2849
Pm 0.7035 0.2035 0.7151
Cu 0.8707 0.6293 0.0000
Pm 0.0116 0.5116 0.7151
Pm 0.4884 0.2965 0.2849
Tl 0.7500 0.7500 0.5000
Tl 0.2500 0.2500 0.5000
Pm 0.5000 0.5000 0.0000
Pm 0.0000 0.0000 0.0000
Pm 0.9884 0.4884 0.2849
Cu 0.6293 0.1293 0.0000
Pm 0.5116 0.7035 0.7151
Pm 0.2035 0.0116 0.7151
Cu 0.1293 0.3707 0.0000
Cu 0.3707 0.8707 0.0000
Pm 0.2965 0.7965 0.2849

Raw total energy: -4.4656 eV per atom
Energy of formation: -0.1767 eV/atom


Entry 4:
Material: Na2Cu2BiTe4
Method: DFT, GGA-PBE
State: relaxed

Cell: 4.1781 8.4989 8.1604 Å, 114.81 90.00 104.23°
Positions (direct):
Na 0.8709 0.7417 0.4470
Te 0.7885 0.5771 0.7926
Te 0.4777 0.9553 0.2607
Bi 0.0000 0.0000 0.0000
Te 0.2115 0.4229 0.2074
Cu 0.2993 0.5987 0.0009
Cu 0.7007 0.4013 0.9991
Te 0.5223 0.0447 0.7393
Na 0.1291 0.2583 0.5530

ΔE_f (raw): -0.387 eV per atom
Raw total energy: -3.4180 eV per atom


Entry 5:
Material: Mn3Se2S2
Method: DFT, GGA-PBE
State: relaxed

Cell: 3.3330 6.0937 6.4763 Å, 96.75 89.98 105.91°
Last column: magnetic moment on the atom in μB.
Positions (direct):
Mn 0.2641 0.5275 0.8410  2.43
S 0.6220 0.2432 0.8452  -0.05
S 0.3780 0.7568 0.1548  -0.05
Mn 0.7359 0.4725 0.1590  2.43
Se 0.8707 0.7400 0.6640  -0.09
Mn 0.0000 0.0000 0.0000  3.54
Se 0.1293 0.2600 0.3360  -0.09

Distance to the lowest polymorph of the same formula: 8.1 kJ per mole of atoms
ΔE_f (raw): -0.409 eV per atom
Raw total energy: -6.5139 eV per atom


Entry 6:
Material: SrLiBr4
Method: DFT, GGA-PBE
State: relaxed

Cell: 6.5508 6.5508 6.5508 Å, 60.00 60.00 60.00°
Last column: magnetic moment on the atom in μB.
Positions (direct):
Li 0.7500 0.7500 0.7500  0.00
Sr 0.0000 0.0000 0.0000  0.00
Br 0.3750 0.8750 0.3750  0.21
Br 0.8750 0.3750 0.3750  0.21
Br 0.3750 0.3750 0.8750  0.21
Br 0.3750 0.3750 0.3750  0.21

ΔE_f (raw): -0.551 eV per atom
Raw total energy: -2.2653 eV per atom


Entry 7:
Material: PmDy4S7
Method: DFT, GGA-PBE
State: relaxed

Cell: 3.8258 6.7641 11.6771 Å, 103.89 90.00 106.43°
Positions (direct):
S 0.9571 0.9141 0.2147
Dy 0.0009 0.0018 0.0019
S 0.6595 0.3190 0.0511
Dy 0.7005 0.4011 0.8143
S 0.5024 0.0047 0.4956
Dy 0.1118 0.2236 0.4187
S 0.0448 0.0896 0.7896
Dy 0.3003 0.6006 0.1867
S 0.3425 0.6849 0.9500
S 0.7386 0.4772 0.3484
S 0.2534 0.5068 0.6492
Pm 0.8883 0.7767 0.5800

ΔE_f (raw): -2.063 eV per atom
Raw total energy: -6.4005 eV per atom


Entry 8:
Material: Ga2AgPb
Method: DFT, GGA-PBE
State: relaxed

Cell: 4.5132 4.5132 9.8330 Å, 76.73 76.73 90.00°
Positions (direct):
Ag 0.5000 0.5000 0.0000
Ga 0.3750 0.4598 0.7500
Pb 0.0000 0.0000 0.0000
Ga 0.5402 0.1250 0.2500
Ga 0.2098 0.6250 0.2500
Ag 0.2500 0.7500 0.5000
Pb 0.7500 0.2500 0.5000
Ga 0.8750 0.7902 0.7500

Raw total energy: -3.0238 eV per atom
Energy of formation: 0.1296 eV/atom


Entry 9:
Material: LaAl3Te
Method: DFT, GGA-PBE
State: relaxed

Cell: 5.3033 5.3033 5.3033 Å, 90.00 90.00 90.00°
Positions (direct):
Al 0.0000 0.0000 0.5000
Al 0.5000 0.0000 0.0000
La 0.5000 0.5000 0.5000
Al 0.0000 0.5000 0.0000
Te 0.0000 0.0000 0.0000

Distance to the lowest polymorph of the same formula: 0.0 kJ per mole of atoms
ΔE_f (raw): 0.495 eV per atom
Raw total energy: -3.3643 eV per atom


Entry 10:
Material: Ce2PuCu6
Method: DFT, GGA-PBE
State: relaxed

Cell: 3.2652 7.6326 7.6326 Å, 60.00 90.01 90.01°
Last column: magnetic moment on the atom in μB.
Positions (direct):
Ce 0.0000 0.6667 0.6667  -0.58
Ce 0.0000 0.3333 0.3333  -0.58
Cu 0.5003 0.0000 0.6676  0.00
Cu 0.5000 0.3324 0.6676  0.00
Pu 0.0000 0.0000 0.0000  5.21
Cu 0.4997 0.3324 0.0000  0.00
Cu 0.5003 0.6676 0.0000  0.00
Cu 0.5000 0.6676 0.3324  0.00
Cu 0.4997 0.0000 0.3324  0.00

Raw total energy: -5.7287 eV per atom
Energy of formation: -0.0868 eV/atom


Entry 11:
Material: CoIr4Os3
Method: DFT, GGA-PBE
State: relaxed

Cell: 3.9423 2.7293 12.0108 Å, 109.94 99.45 90.00°
Last column: magnetic moment on the atom in μB.
Positions (direct):
Os 0.7786 0.3356 0.5572  0.01
Os 0.2214 0.6644 0.4428  0.01
Os 0.0000 0.5000 0.0000  0.27
Ir 0.9007 0.7030 0.8015  0.02
Ir 0.3413 0.0237 0.6825  0.02
Ir 0.0993 0.2970 0.1985  0.02
Ir 0.6587 0.9763 0.3175  0.02
Co 0.5000 0.0000 0.0000  1.39

Raw total energy: -9.1938 eV per atom
Energy of formation: 0.3361 eV/atom


Entry 12:
Material: Zn2TcOs
Method: DFT, GGA-PBE
State: relaxed

Cell: 5.1749 5.1749 5.1749 Å, 147.50 128.42 62.30°
Positions (direct):
Zn 0.4977 0.4977 0.0000
Zn 0.0023 0.0023 0.0000
Os 0.2500 0.7500 0.5000
Tc 0.7500 0.2500 0.5000

Distance to the lowest polymorph of the same formula: 25.3 kJ per mole of atoms
Raw total energy: -5.7911 eV per atom
Energy of formation: 0.2448 eV/atom